# 1
Entry from the Alexandria database: a relaxed Ta3Pt2N crystal (GGA-PBE).

a = 7.0583 Å, b = 7.0583 Å, c = 7.0583 Å
α = 90.00°, β = 90.00°, γ = 90.00°
Last column: nearest neighbours and their distance in Å.
Positions (direct):
Ta: 0.6250 0.2963 0.5463  2 N 2.21
Ta: 0.7037 0.0463 0.8750  2 N 2.21
Ta: 0.5463 0.6250 0.2963  2 N 2.21
Ta: 0.9537 0.3750 0.7963  2 N 2.21
Ta: 0.2963 0.5463 0.6250  2 N 2.21
Ta: 0.4537 0.1250 0.2037  2 N 2.21
Ta: 0.0463 0.8750 0.7037  2 N 2.21
Ta: 0.7963 0.9537 0.3750  2 N 2.21
Ta: 0.2037 0.4537 0.1250  2 N 2.21
Ta: 0.8750 0.7037 0.0463  2 N 2.21
Ta: 0.3750 0.7963 0.9537  2 N 2.21
Ta: 0.1250 0.2037 0.4537  2 N 2.21
Pt: 0.5591 0.4409 0.9409  3 Pt 2.66, 3 Ta 2.83
Pt: 0.6909 0.6909 0.6909  3 Pt 2.66, 3 Ta 2.83
Pt: 0.9409 0.5591 0.4409  3 Pt 2.66, 3 Ta 2.83
Pt: 0.4409 0.9409 0.5591  3 Pt 2.66, 3 Ta 2.83
Pt: 0.1909 0.8091 0.3091  3 Pt 2.66, 3 Ta 2.83
Pt: 0.8091 0.3091 0.1909  3 Pt 2.66, 3 Ta 2.83
Pt: 0.3091 0.1909 0.8091  3 Pt 2.66, 3 Ta 2.83
Pt: 0.0591 0.0591 0.0591  3 Pt 2.66, 3 Ta 2.83
N: 0.8750 0.1250 0.6250  6 Ta 2.21
N: 0.1250 0.6250 0.8750  6 Ta 2.21
N: 0.6250 0.8750 0.1250  6 Ta 2.21
N: 0.3750 0.3750 0.3750  6 Ta 2.21

Output
The magnetization is 0.000 μB per atom. The calculation puts the calculated volume at 352 Å³/cell. Its total energy is -10.15 eV/atom. Its crystal system is cubic.



# 2
Entry from the Alexandria database: a relaxed TaPtN2 crystal (GGA-PBE).

a = 6.5155 Å, b = 6.5155 Å, c = 6.5155 Å
α = 27.45°, β = 27.45°, γ = 27.45°
Last column: nearest neighbours and their distance in Å.
Positions (direct):
N: 0.8919 0.8919 0.8919  1 Pt 2.03, 3 Ta 2.10
N: 0.1081 0.1081 0.1081  1 Pt 2.03, 3 Ta 2.10
Pt: 0.0000 0.0000 0.0000  2 N 2.03
Ta: 0.5000 0.5000 0.5000  6 N 2.10

Output
The magnetization is 0.000 μB per atom. The calculation puts the calculated volume at 52 Å³/cell. Its total energy is -9.07 eV/atom. Its crystal system is trigonal. For the offset from the most stable computed form, the calculation gives 0.000 eV per atom.